--- i ---
MnZnCu6 (GGA-PBE, optimized geometry); N(E_F) = 3.34 states/eV per cell; calculated volume = 12.6 A^3/atom
1.0
4.2626 0.0000 0.0000
0.0000 5.2169 -0.1691
0.0000 -2.4614 4.6028
Zn Mn Cu
1 1 6
direct
0.5000 0.4165 0.5835 Zn
0.0000 0.0834 0.9166 Mn
0.0000 0.5848 0.9195 Cu
0.0000 0.5847 0.4153 Cu
0.0000 0.0805 0.4152 Cu
0.5000 0.9145 0.5792 Cu
0.5000 0.4208 0.0855 Cu
0.5000 0.9146 0.0854 Cu

***

--- ii ---
MnZnCu6 (GGA-PBE, optimized geometry); N(E_F) = 3.11 states/eV per cell; calculated volume = 12.5 A^3/atom
1.0
3.4924 0.0000 0.9534
1.6024 4.0987 1.0037
-0.0195 -0.0779 6.9447
Cu Zn Mn
6 1 1
direct
0.2508 0.8743 0.6240 Cu
0.4996 0.7506 0.2502 Cu
0.7492 0.1257 0.3760 Cu
0.2491 0.3761 0.1257 Cu
0.7509 0.6239 0.8743 Cu
0.5004 0.2494 0.7498 Cu
0.0000 0.0000 0.0000 Zn
0.0000 0.5000 0.5000 Mn

***

Name the least stable of them. i.

***

--- i ---
MnZnCu3 (GGA-PBE, optimized geometry); N(E_F) = 2.70 states/eV per cell; calculated volume = 18.8 A^3/atom
1.0
-4.2443 1.5568 -0.4964
-1.6334 -4.0799 1.1706
-0.0446 1.2707 4.3666
Cu Mn Zn
3 1 1
direct
0.0000 0.0000 0.5000 Cu
0.5000 0.0000 0.0000 Cu
0.0000 0.5000 0.0000 Cu
0.0000 0.0000 0.0000 Mn
0.5000 0.5000 0.5000 Zn

***

--- ii ---
MnZnCu3 (GGA-PBE, optimized geometry); N(E_F) = 2.31 states/eV per cell; calculated volume = 17.3 A^3/atom
1.0
-0.8548 3.3766 2.7225
-4.3312 -0.8135 -0.3509
0.2330 -2.7351 3.4654
Cu Zn Mn
3 1 1
direct
0.0000 0.5000 0.0000 Cu
0.5000 0.0000 0.0000 Cu
0.0000 0.0000 0.5000 Cu
0.0000 0.0000 0.0000 Zn
0.5000 0.5000 0.5000 Mn

***

Name the least stable of them. i.

***

--- i ---
Mn3ZnCu (GGA-PBE, optimized geometry); N(E_F) = 5.28 states/eV per cell; calculated volume = 19.2 A^3/atom
1.0
-2.5476 0.2993 -3.7922
-3.4000 -2.2261 2.1084
-1.7060 3.9894 1.4609
Mn Cu Zn
3 1 1
direct
0.5000 0.0000 0.0000 Mn
0.0000 0.5000 0.0000 Mn
0.0000 0.0000 0.5000 Mn
0.5000 0.5000 0.5000 Cu
0.0000 0.0000 0.0000 Zn

***

--- ii ---
Mn3ZnCu (GGA-PBE, optimized geometry); N(E_F) = 5.28 states/eV per cell; calculated volume = 18.8 A^3/atom
1.0
4.5490 0.0000 0.0000
0.0000 4.5490 0.0000
0.0000 0.0000 4.5490
Mn Cu Zn
3 1 1
direct
0.0000 0.5000 0.0000 Mn
0.5000 0.0000 0.0000 Mn
0.0000 0.0000 0.5000 Mn
0.0000 0.0000 0.0000 Cu
0.5000 0.5000 0.5000 Zn

***

Name the least stable of them. i.